one:
Entry from Alexandria via LeMat-Bulk: ZnSCl2O after structural relaxation (PBE).

The space group is P4/mmm (No. 123) and the conventional cell measures 4.577, 4.577 and 4.119 Å, with angles of 90.00, 90.00 and 90.00 degrees. The inequivalent atoms are Zn at (0.000, 0.000, 0.000), S at (0.500, 0.500, 0.000), Cl at (0.000, 0.500, 0.500) and O at (0.500, 0.500, 0.500).

Its calculated density is 3.55 g/cm3. Its density of states at the Fermi level is 2.0 states/eV/f.u. As for the crystal system: tetragonal.

two:
Entry from Alexandria via LeMat-Bulk: ZnSCl2O after structural relaxation (PBE).

The space group is P4/mmm (No. 123) and the conventional cell measures 4.821, 4.821 and 4.917 Å, with angles of 90.00, 90.00 and 90.00 degrees. The inequivalent atoms are Zn at (0.000, 0.000, 0.000), S at (0.000, 0.000, 0.500), Cl at (0.000, 0.500, 0.000) and O at (0.500, 0.500, 0.500).

Its calculated density is 2.68 g/cm3. Its density of states at the Fermi level is 6.2 states/eV/f.u. As for the crystal system: tetragonal.

Winner for stability: one

one:
Entry from Alexandria via LeMat-Bulk: ZnS2ClO after structural relaxation (PBE).

The space group is P4/mmm (No. 123) and the conventional cell measures 4.794, 4.794 and 4.736 Å, with angles of 90.00, 90.00 and 90.00 degrees. The inequivalent atoms are Zn at (0.000, 0.000, 0.000), S at (0.000, 0.500, 0.000), Cl at (0.000, 0.000, 0.500) and O at (0.500, 0.500, 0.500).

Its calculated density is 2.76 g/cm3. Its density of states at the Fermi level is 7.3 states/eV/f.u. As for the crystal system: tetragonal.

two:
Entry from Alexandria via LeMat-Bulk: ZnS2ClO after structural relaxation (PBE).

The space group is P4/mmm (No. 123) and the conventional cell measures 4.218, 4.218 and 4.582 Å, with angles of 90.00, 90.00 and 90.00 degrees. The inequivalent atoms are Zn at (0.000, 0.000, 0.000), S at (0.000, 0.500, 0.500), Cl at (0.500, 0.500, 0.000) and O at (0.500, 0.500, 0.500).

Its calculated density is 3.69 g/cm3. Its density of states at the Fermi level is 4.1 states/eV/f.u. As for the crystal system: tetragonal.

Winner for stability: two

one:
Entry from Alexandria via LeMat-Bulk: SbClO2 after structural relaxation (PBE).

The space group is Fm-3m (No. 225) and the conventional cell measures 5.998, 5.998 and 5.998 Å, with angles of 90.00, 90.00 and 90.00 degrees. The inequivalent atoms are Sb at (0.000, 0.000, 0.000), Cl at (0.000, 0.000, 0.500) and O at (0.250, 0.250, 0.250).

Its calculated density is 5.82 g/cm3. Its density of states at the Fermi level is 2.5 states/eV/f.u. As for the crystal system: cubic.

two:
Entry from Alexandria via LeMat-Bulk: SbClO2 after structural relaxation (PBE).

The space group is I-42d (No. 122) and the conventional cell measures 6.250, 6.250 and 8.690 Å, with angles of 90.00, 90.00 and 90.00 degrees. The inequivalent atoms are Sb at (0.000, 0.000, 0.000), Cl at (0.000, 0.000, 0.500) and O at (0.056, 0.750, 0.125).

Its calculated density is 3.70 g/cm3. Its density of states at the Fermi level is 12.2 states/eV/f.u. As for the crystal system: tetragonal.

Winner for stability: two